DFT (PBE) results for a relaxed TmMgCo2 crystal.

Properties
For the total magnetization, the calculation gives 0.0 μB per formula unit. The calculation puts the density at 8.23 g/cm³. Its crystal system is cubic. Its formation enthalpy at 0 K is -0.01 eV per atom. For the energy, the calculation gives -5.082 eV/atom.

Cell lengths 6.3086, 6.3086, 6.3086 Å; angles 90.00, 90.00, 90.00 degrees
Last column: nearest neighbours and their distance in Å.
Space group Fm-3m (No. 225)
Asymmetric unit:
Tm  0.0000  0.0000  0.0000  8 Co 2.73
Mg  0.0000  0.0000  0.5000  8 Co 2.73
Co  0.2500  0.2500  0.2500  4 Mg 2.73, 4 Tm 2.73

---

DFT (PBE) results for a relaxed TmMg2Co9 crystal.

Properties
For the total magnetization, the calculation gives 13.0 μB per formula unit. The calculation puts the density at 7.71 g/cm³. Its crystal system is trigonal. Its formation enthalpy at 0 K is -0.09 eV per atom. For the energy, the calculation gives -6.058 eV/atom.

Cell lengths 4.8663, 4.8663, 23.5709 Å; angles 90.00, 90.00, 120.00 degrees
Last column: nearest neighbours and their distance in Å.
Space group R-3m (No. 166, hexagonal axes)
Asymmetric unit:
Tm  0.0000  0.0000  0.0000  18 Co 2.81-3.14
Mg  0.0000  0.0000  0.1433  12 Co 2.80-2.86, 3 Mg 3.02
Co  0.0000  0.0000  0.3361  6 Co 2.40-2.47
Co  0.0000  0.0000  0.5000  6 Co 2.41
Co  0.0071  0.5036  0.9157  7 Co 2.38-2.49